(1)
A relaxed structure of K2NaIrF6, computed with PBE.

Structure (POSCAR):
```
K2NaIrF6
1.0
8.160 0.000 0.000
0.000 8.160 0.000
0.000 0.000 8.160
F Na Ir K
24 4 4 8
Direct
0.000 0.255 0.500
0.500 0.255 0.000
0.245 0.000 0.000
0.255 0.500 0.000
0.500 0.745 0.000
0.500 0.000 0.745
0.000 0.245 0.000
0.500 0.000 0.255
0.000 0.000 0.755
0.755 0.000 0.000
0.745 0.500 0.000
0.000 0.755 0.000
0.500 0.500 0.245
0.000 0.500 0.745
0.755 0.500 0.500
0.745 0.000 0.500
0.245 0.500 0.500
0.000 0.500 0.255
0.500 0.500 0.755
0.500 0.245 0.500
0.000 0.000 0.245
0.000 0.745 0.500
0.500 0.755 0.500
0.255 0.000 0.500
0.000 0.000 0.500
0.500 0.500 0.500
0.000 0.500 0.000
0.500 0.000 0.000
0.000 0.500 0.500
0.500 0.500 0.000
0.500 0.000 0.500
0.000 0.000 0.000
0.250 0.750 0.250
0.750 0.250 0.250
0.250 0.250 0.750
0.250 0.250 0.250
0.750 0.750 0.250
0.750 0.750 0.750
0.250 0.750 0.750
0.750 0.250 0.750
```

Total DFT energy (no corrections) ... -4.599 eV/atom
Space group ... Fm-3m (225)
Total magnetization ... 0.00 μB per atom



(2)
A relaxed structure of SmZrTe, computed with PBE.

Structure (POSCAR):
```
SmZrTe
1.0
1.305 -4.418 1.827
-1.761 -1.485 4.388
-3.324 -3.669 0.223
Zr Sm Te
1 1 1
Direct
0.750 0.750 0.750
0.250 0.250 0.250
0.000 0.000 0.000
```

Distance to the lowest polymorph of the same formula ... 0.000 eV per atom
Space group ... F-43m (216)
Total magnetization ... 0.00 μB per atom



(3)
A relaxed structure of TlTe3IrPd, computed with PBE.

Structure (POSCAR):
```
TlTe3IrPd
1.0
-2.671 -6.796 -3.162
3.183 -1.965 1.534
-4.113 0.734 9.476
Te Pd Ir Tl
6 2 2 2
Direct
0.904 0.250 0.622
0.266 0.250 0.088
0.458 0.250 0.626
0.734 0.750 0.912
0.096 0.750 0.378
0.542 0.750 0.374
0.949 0.250 0.889
0.051 0.750 0.111
0.687 0.750 0.642
0.313 0.250 0.358
0.764 0.250 0.188
0.236 0.750 0.812
```

Total DFT energy (no corrections) ... -4.535 eV/atom
Space group ... P2_1/m (11)
Total magnetization ... 0.00 μB per atom



(4)
A relaxed structure of Nd3Dy3Te2Os, computed with PBE.

Structure (POSCAR):
```
Nd3Dy3Te2Os
1.0
8.547 0.000 0.000
-4.273 7.402 0.000
0.000 0.000 3.998
Te Nd Dy Os
2 3 3 1
Direct
0.333 0.667 0.500
0.667 0.333 0.500
0.000 0.755 0.500
0.245 0.245 0.500
0.755 0.000 0.500
0.601 0.601 0.000
0.000 0.399 0.000
0.399 0.000 0.000
0.000 0.000 0.000
```

Distance to the lowest polymorph of the same formula ... 0.124 eV per atom
Space group ... P-62m (189)
Total magnetization ... 0.00 μB per atom



(5)
A relaxed structure of Rb2ReMoN4, computed with PBE.

Structure (POSCAR):
```
Rb2ReMoN4
1.0
-3.005 3.005 4.381
3.005 -3.005 4.381
3.005 3.005 -4.381
Mo Re N Rb
1 1 4 2
Direct
0.500 0.500 0.000
0.750 0.250 0.500
0.122 0.424 0.798
0.576 0.374 0.698
0.626 0.324 0.202
0.676 0.878 0.302
0.000 0.000 0.000
0.250 0.750 0.500
```

Total DFT energy (no corrections) ... -7.589 eV/atom
Space group ... I-4 (82)
Total magnetization ... 0.00 μB per atom



(6)
A relaxed structure of PuThU, computed with PBE.

Structure (POSCAR):
```
PuThU
1.0
3.032 -3.253 -1.071
-0.093 -4.020 2.180
-1.369 -3.767 -2.205
Pu U Th
1 1 1
Direct
0.000 0.000 0.000
0.750 0.750 0.750
0.250 0.250 0.250
```

Energy relative to the elements ... 0.808 eV/atom
Distance to the lowest polymorph of the same formula ... 0.000 eV per atom
Space group ... F-43m (216)
Total magnetization ... 1.31 μB per atom



(7)
A relaxed structure of TaZnInCu, computed with PBE.

Structure (POSCAR):
```
TaZnInCu
1.0
0.000 3.206 3.206
3.206 0.000 3.206
3.206 3.206 0.000
Zn Ta Cu In
1 1 1 1
Direct
0.250 0.250 0.250
0.500 0.500 0.500
0.750 0.750 0.750
0.000 0.000 0.000
```

Distance to the lowest polymorph of the same formula ... 0.000 eV per atom
Space group ... F-43m (216)
Total magnetization ... 0.13 μB per atom



(8)
A relaxed structure of TmTaPd, computed with PBE.

Structure (POSCAR):
```
TmTaPd
1.0
0.125 -2.764 3.691
-3.707 -0.388 2.717
-2.436 -3.917 0.032
Ta Pd Tm
1 1 1
Direct
0.750 0.750 0.750
0.250 0.250 0.250
0.000 0.000 0.000
```

Energy relative to the elements ... 1.026 eV/atom
Space group ... F-43m (216)
Total magnetization ... 0.63 μB per atom



(9)
A relaxed structure of LuScGa, computed with PBE.

Structure (POSCAR):
```
LuScGa
1.0
0.000 3.383 3.383
3.383 0.000 3.383
3.383 3.383 0.000
Ga Lu Sc
1 1 1
Direct
0.250 0.250 0.250
0.750 0.750 0.750
0.000 0.000 0.000
```

Distance to the lowest polymorph of the same formula ... 0.000 eV per atom
Space group ... F-43m (216)
Total magnetization ... 0.00 μB per atom



(10)
A relaxed structure of Cs3NdN, computed with PBE.

Structure (POSCAR):
```
Cs3NdN
1.0
6.260 0.000 0.000
0.000 6.260 0.000
0.000 0.000 6.260
Cs N Nd
3 1 1
Direct
0.500 0.500 0.000
0.500 0.000 0.500
0.000 0.500 0.500
0.500 0.500 0.500
0.000 0.000 0.000
```

Total DFT energy (no corrections) ... -2.152 eV/atom
Space group ... Pm-3m (221)
Total magnetization ... 0.21 μB per atom



(11)
A relaxed structure of BaLiW, computed with PBE.

Structure (POSCAR):
```
BaLiW
1.0
-3.393 -3.722 -5.673
7.329 -1.249 1.508
-1.593 -4.574 3.953
Li W Ba
3 3 3
Direct
0.000 0.480 0.500
0.480 0.000 0.500
0.520 0.520 0.500
0.180 0.000 0.000
0.820 0.820 0.000
0.000 0.180 0.000
0.333 0.667 0.000
0.667 0.333 0.000
0.000 0.000 0.500
```

Distance to the lowest polymorph of the same formula ... 0.000 eV per atom
Space group ... P-62m (189)
Total magnetization ... 0.01 μB per atom



(12)
A relaxed structure of Li4Pd2O5, computed with PBE.

Structure (POSCAR):
```
Li4Pd2O5
1.0
0.000 0.000 4.201
6.275 2.099 0.000
0.000 4.197 0.000
Pd Li O
2 4 5
Direct
0.500 0.673 0.163
0.500 0.327 0.837
0.000 0.628 0.686
0.000 0.000 0.000
0.000 0.372 0.314
0.500 0.000 0.500
0.500 0.333 0.333
0.000 0.692 0.154
0.500 0.000 0.000
0.500 0.667 0.667
0.000 0.308 0.846
```

Total DFT energy (no corrections) ... -5.039 eV/atom
Space group ... Cmmm (65)